An optimized crystal structure of LaTcAs4, computed with PBE.

POSCAR file:
```
LaTcAs4
1.0
0.000 3.978 3.978
3.978 0.000 3.978
3.978 3.978 0.000
La Tc As
1 1 4
Cartesian
0.000 0.000 0.000
5.967 5.967 5.967
2.997 2.997 2.997
4.959 4.959 2.997
4.959 2.997 4.959
2.997 4.959 4.959
```

## Properties
E_form ... 0.215 eV/atom

An optimized crystal structure of LaTcAs2, computed with PBE.

POSCAR file:
```
LaTcAs2
1.0
3.419 0.000 0.000
0.000 3.419 0.000
0.000 0.000 6.924
La Tc As
1 1 2
Cartesian
0.000 0.000 0.000
1.709 1.709 2.328
0.000 0.000 3.283
1.709 1.709 4.944
```

## Properties
E_form ... -0.264 eV/atom

An optimized crystal structure of LaTe4As, computed with PBE.

POSCAR file:
```
LaTe4As
1.0
0.000 4.447 4.447
4.447 0.000 4.447
4.447 4.447 0.000
La Te As
1 4 1
Cartesian
0.000 0.000 0.000
5.557 3.337 3.337
3.337 5.557 3.337
3.337 3.337 5.557
5.557 5.557 5.557
2.223 2.223 2.223
```

## Properties
Formation energy (no corrections) ... -0.02 eV per atom

An optimized crystal structure of La2TeAs, computed with PBE.

POSCAR file:
```
La2TeAs
1.0
4.479 0.000 0.000
0.000 4.479 0.000
0.000 0.000 6.337
La Te As
2 1 1
Cartesian
0.000 0.000 0.000
2.240 2.240 3.168
0.000 0.000 3.168
2.240 2.240 0.000
```

## Properties
Formation energy (no corrections) ... -1.58 eV per atom